Here is SrGaTe2As after structural relaxation from the Alexandria database. Energies are from GGA-PBE.

Energy relative to the elements, uncorrected in eV/f.u.: 1.791
Total magnetic moment in μB per formula unit: 1.00
Fermi-level density of states in states/eV/f.u.: 6.1
Calculated volume in Å³ per cell: 221

```
SrGaTe2As
1.0
6.1764 0.0000 0.0000
0.0000 6.1764 0.0000
0.0000 0.0000 5.7806
Sr Ga Te As
1 1 2 1
Direct
0.0000 0.0000 0.0000
0.5000 0.5000 0.5000
0.0000 0.5000 0.0000
0.5000 0.0000 0.0000
0.0000 0.0000 0.5000
```